The following is a PBE calculation of a relaxed structure of Dy11Ge10, from Alexandria via LeMat-Bulk.

Cell: 10.924 10.924 16.462 Å, 90.00 90.00 90.00°
Space group I4/mmm (No. 139)
One atom of each set of equivalent atoms:
Dy  0.000  0.000  0.161 [4 per cell]
Dy  0.000  0.252  0.310 [16 per cell]
Dy  0.000  0.324  0.102 [16 per cell]
Dy  0.177  0.177  0.500 [8 per cell]
Ge  0.000  0.000  0.388 [4 per cell]
Ge  0.000  0.361  0.500 [8 per cell]
Ge  0.000  0.500  0.250 [4 per cell]
Ge  0.120  0.120  0.000 [8 per cell]
Ge  0.209  0.209  0.182 [16 per cell]

Summary:
total moment: 0.0 μB per formula unit
calculated total energy: -458.464 eV per cell
formation enthalpy at 0 K: -1719 kJ/mol of formula units